1.
Entry from Alexandria: Re2HgAu at its PBEsol-relaxed geometry (meta-GGA SCAN).

The space group is Immm (No. 71) and the conventional cell measures 2.7593, 4.7699 and 10.1006 Å, with angles of 90.00, 90.00 and 90.00 degrees. The distinct sites, in fractional coordinates, are Re at (0.0000, 0.0000, 0.2356), Hg at (0.0000, 0.5000, 0.0000) and Au at (0.0000, 0.5000, 0.5000).

The calculation puts the total energy at -276.3 eV per formula unit. The theoretical density comes out at 19.2 g/cm3. The value obtained for the density of states at the Fermi level is 0.738 states/eV/atom. The value obtained for the energy of formation is 814 meV/atom.

2.
Entry from Alexandria: Re2HgAu at its PBEsol-relaxed geometry (meta-GGA SCAN).

The space group is Cm (No. 8) and the conventional cell measures 9.2943, 2.8024 and 5.0409 Å, with angles of 90.00, 98.78 and 90.00 degrees. The distinct sites, in fractional coordinates, are Re at (0.0000, 0.0000, 0.0000), Re at (0.2374, 0.5000, 0.1815), Hg at (0.2450, 0.0000, 0.6995) and Au at (0.4889, 0.0000, 0.4696).

The calculation puts the total energy at -276.9 eV per formula unit. The theoretical density comes out at 19.7 g/cm3. The value obtained for the density of states at the Fermi level is 0.502 states/eV/atom. The value obtained for the energy of formation is 662 meV/atom.

3.
Entry from Alexandria: TlReHg2Au at its PBEsol-relaxed geometry (meta-GGA SCAN).

The space group is P4/mmm (No. 123) and the conventional cell measures 5.4553, 5.4553 and 5.1587 Å, with angles of 90.00, 90.00 and 90.00 degrees. The distinct sites, in fractional coordinates, are Tl at (0.0000, 0.0000, 0.0000), Re at (0.5000, 0.5000, 0.5000), Hg at (0.0000, 0.5000, 0.0000) and Au at (0.0000, 0.0000, 0.5000).

The calculation puts the total energy at -340.5 eV per formula unit. The theoretical density comes out at 10.7 g/cm3. The value obtained for the density of states at the Fermi level is 0.359 states/eV/atom. The value obtained for the energy of formation is 1690 meV/atom.

4.
Entry from Alexandria: HgRhAu2 at its PBEsol-relaxed geometry (meta-GGA SCAN).

The space group is F-43m (No. 216) and the conventional cell measures 6.4449, 6.4449 and 6.4449 Å, with angles of 90.00, 90.00 and 90.00 degrees. The distinct sites, in fractional coordinates, are Hg at (0.0000, 0.0000, 0.0000), Rh at (0.2500, 0.2500, 0.7500), Au at (0.0000, 0.0000, 0.5000) and Au at (0.2500, 0.2500, 0.2500).

The calculation puts the total energy at -239.7 eV per formula unit. The theoretical density comes out at 17.3 g/cm3. The value obtained for the density of states at the Fermi level is 0.463 states/eV/atom. The value obtained for the energy of formation is 137 meV/atom.

5.
Entry from Alexandria: HgRhAu2 at its PBEsol-relaxed geometry (meta-GGA SCAN).

The space group is C2/m (No. 12) and the conventional cell measures 9.5161, 3.0110 and 4.7832 Å, with angles of 90.00, 102.10 and 90.00 degrees. The distinct sites, in fractional coordinates, are Hg at (0.0000, 0.0000, 0.0000), Rh at (0.0000, 0.5000, 0.5000) and Au at (0.2433, 0.0000, 0.7404).

The calculation puts the total energy at -239.7 eV per formula unit. The theoretical density comes out at 17.3 g/cm3. The value obtained for the density of states at the Fermi level is 0.709 states/eV/atom. The value obtained for the energy of formation is 140 meV/atom.

6.
Entry from Alexandria: HgRh2Au at its PBEsol-relaxed geometry (meta-GGA SCAN).

The space group is P4/mmm (No. 123) and the conventional cell measures 4.1484, 4.1484 and 3.6644 Å, with angles of 90.00, 90.00 and 90.00 degrees. The distinct sites, in fractional coordinates, are Hg at (0.0000, 0.0000, 0.0000), Rh at (0.0000, 0.5000, 0.5000) and Au at (0.5000, 0.5000, 0.0000).

The calculation puts the total energy at -204.0 eV per formula unit. The theoretical density comes out at 15.9 g/cm3. The value obtained for the density of states at the Fermi level is 1.027 states/eV/atom. The value obtained for the energy of formation is 216 meV/atom.

7.
Entry from Alexandria: HgRu2Au at its PBEsol-relaxed geometry (meta-GGA SCAN).

The space group is I4/mmm (No. 139) and the conventional cell measures 4.0060, 4.0060 and 7.8142 Å, with angles of 90.00, 90.00 and 90.00 degrees. The distinct sites, in fractional coordinates, are Hg at (0.0000, 0.0000, 0.0000), Ru at (0.0000, 0.5000, 0.2500) and Au at (0.0000, 0.0000, 0.5000).

The calculation puts the total energy at -204.7 eV per formula unit. The theoretical density comes out at 15.9 g/cm3. The value obtained for the density of states at the Fermi level is 0.515 states/eV/atom. The value obtained for the energy of formation is 566 meV/atom.

8.
Entry from Alexandria: Hg2RuAu at its PBEsol-relaxed geometry (meta-GGA SCAN).

The space group is C2/m (No. 12) and the conventional cell measures 9.2332, 2.9867 and 5.2197 Å, with angles of 90.00, 100.91 and 90.00 degrees. The distinct sites, in fractional coordinates, are Hg at (0.2457, 0.0000, 0.2419), Ru at (0.0000, 0.5000, 0.0000) and Au at (0.0000, 0.0000, 0.5000).

The calculation puts the total energy at -238.6 eV per formula unit. The theoretical density comes out at 16.4 g/cm3. The value obtained for the density of states at the Fermi level is 0.452 states/eV/atom. The value obtained for the energy of formation is 435 meV/atom.

9.
Entry from Alexandria: HgRuAu2 at its PBEsol-relaxed geometry (meta-GGA SCAN).

The space group is Pmm2 (No. 25) and the conventional cell measures 2.9064, 3.8654 and 5.9864 Å, with angles of 90.00, 90.00 and 90.00 degrees. The distinct sites, in fractional coordinates, are Hg at (0.0000, 0.0000, 0.0000), Ru at (0.5000, 0.5000, 0.2475), Au at (0.0000, 0.0000, 0.4805) and Au at (0.5000, 0.5000, 0.7321).

The calculation puts the total energy at -239.9 eV per formula unit. The theoretical density comes out at 17.2 g/cm3. The value obtained for the density of states at the Fermi level is 0.481 states/eV/atom. The value obtained for the energy of formation is 353 meV/atom.

10.
Entry from Alexandria: HgRuAu at its PBEsol-relaxed geometry (meta-GGA SCAN).

The space group is F-43m (No. 216) and the conventional cell measures 6.2017, 6.2017 and 6.2017 Å, with angles of 90.00, 90.00 and 90.00 degrees. The distinct sites, in fractional coordinates, are Hg at (0.0000, 0.0000, 0.0000), Ru at (0.0000, 0.0000, 0.5000) and Au at (0.2500, 0.2500, 0.7500).

The calculation puts the total energy at -169.9 eV per formula unit. The theoretical density comes out at 13.9 g/cm3. As for the energy above the most stable polymorph in this dataset: 0 meV/atom. The value obtained for the density of states at the Fermi level is 1.111 states/eV/atom. The value obtained for the energy of formation is 747 meV/atom.

11.
Entry from Alexandria: HgRuAu2 at its PBEsol-relaxed geometry (meta-GGA SCAN).

The space group is F-43m (No. 216) and the conventional cell measures 6.4528, 6.4528 and 6.4528 Å, with angles of 90.00, 90.00 and 90.00 degrees. The distinct sites, in fractional coordinates, are Hg at (0.0000, 0.0000, 0.0000), Ru at (0.2500, 0.2500, 0.2500), Au at (0.0000, 0.0000, 0.5000) and Au at (0.2500, 0.2500, 0.7500).

The calculation puts the total energy at -239.6 eV per formula unit. The theoretical density comes out at 17.2 g/cm3. The value obtained for the density of states at the Fermi level is 0.830 states/eV/atom. The value obtained for the energy of formation is 427 meV/atom.

12.
Entry from Alexandria: HgRu2Au at its PBEsol-relaxed geometry (meta-GGA SCAN).

The space group is Cm (No. 8) and the conventional cell measures 9.1193, 2.8536 and 4.9141 Å, with angles of 90.00, 100.09 and 90.00 degrees. The distinct sites, in fractional coordinates, are Hg at (0.0000, 0.0000, 0.0000), Ru at (0.2558, 0.5000, 0.2950), Ru at (0.4904, 0.0000, 0.4773) and Au at (0.2430, 0.0000, 0.7603).

The calculation puts the total energy at -205.1 eV per formula unit. The theoretical density comes out at 15.8 g/cm3. The value obtained for the density of states at the Fermi level is 0.889 states/eV/atom. The value obtained for the energy of formation is 464 meV/atom.

13.
Entry from Alexandria: HgRu2Au at its PBEsol-relaxed geometry (meta-GGA SCAN).

The space group is Pm (No. 6) and the conventional cell measures 2.8037, 4.2016 and 5.6483 Å, with angles of 90.00, 104.48 and 90.00 degrees. The distinct sites, in fractional coordinates, are Hg at (0.0000, 0.0000, 0.0000), Ru at (0.6317, 0.5000, 0.2628), Ru at (0.7392, 0.0000, 0.4758) and Au at (0.3635, 0.5000, 0.7236).

The calculation puts the total energy at -204.9 eV per formula unit. The theoretical density comes out at 15.5 g/cm3. The value obtained for the density of states at the Fermi level is 0.665 states/eV/atom. The value obtained for the energy of formation is 524 meV/atom.

14.
Entry from Alexandria: HgRu2Au at its PBEsol-relaxed geometry (meta-GGA SCAN).

The space group is I-4m2 (No. 119) and the conventional cell measures 3.9664, 3.9664 and 7.9269 Å, with angles of 90.00, 90.00 and 90.00 degrees. The distinct sites, in fractional coordinates, are Hg at (0.0000, 0.0000, 0.0000), Ru at (0.0000, 0.0000, 0.5000), Ru at (0.0000, 0.5000, 0.2500) and Au at (0.0000, 0.5000, 0.7500).

The calculation puts the total energy at -204.8 eV per formula unit. The theoretical density comes out at 16.0 g/cm3. The value obtained for the density of states at the Fermi level is 1.007 states/eV/atom. The value obtained for the energy of formation is 538 meV/atom.

15.
Entry from Alexandria: HgRuAu2 at its PBEsol-relaxed geometry (meta-GGA SCAN).

The space group is Cm (No. 8) and the conventional cell measures 9.4371, 2.8071 and 5.1178 Å, with angles of 90.00, 99.62 and 90.00 degrees. The distinct sites, in fractional coordinates, are Hg at (0.0000, 0.0000, 0.0000), Ru at (0.2521, 0.0000, 0.7586), Au at (0.0105, 0.5000, 0.5143) and Au at (0.2567, 0.5000, 0.2686).

The calculation puts the total energy at -239.8 eV per formula unit. The theoretical density comes out at 17.3 g/cm3. The value obtained for the density of states at the Fermi level is 0.698 states/eV/atom. The value obtained for the energy of formation is 385 meV/atom.

16.
Entry from Alexandria: HgRu2Au at its PBEsol-relaxed geometry (meta-GGA SCAN).

The space group is Pmm2 (No. 25) and the conventional cell measures 2.8061, 3.6500 and 6.2677 Å, with angles of 90.00, 90.00 and 90.00 degrees. The distinct sites, in fractional coordinates, are Hg at (0.0000, 0.0000, 0.0000), Ru at (0.0000, 0.0000, 0.4581), Ru at (0.5000, 0.5000, 0.2823) and Au at (0.5000, 0.5000, 0.7220).

The calculation puts the total energy at -205.6 eV per formula unit. The theoretical density comes out at 15.5 g/cm3. The value obtained for the density of states at the Fermi level is 0.565 states/eV/atom. The value obtained for the energy of formation is 332 meV/atom.

17.
Entry from Alexandria: Hg3RuAu at its PBEsol-relaxed geometry (meta-GGA SCAN).

The space group is Pm-3m (No. 221) and the conventional cell measures 5.1108, 5.1108 and 5.1108 Å, with angles of 90.00, 90.00 and 90.00 degrees. The distinct sites, in fractional coordinates, are Hg at (0.0000, 0.0000, 0.5000), Ru at (0.5000, 0.5000, 0.5000) and Au at (0.0000, 0.0000, 0.0000).

The calculation puts the total energy at -303.1 eV per formula unit. The theoretical density comes out at 11.2 g/cm3. The value obtained for the density of states at the Fermi level is 1.065 states/eV/atom. The value obtained for the energy of formation is 1074 meV/atom.

18.
Entry from Alexandria: HgAu2S2 at its PBEsol-relaxed geometry (meta-GGA SCAN).

The space group is I4/mmm (No. 139) and the conventional cell measures 3.6155, 3.6155 and 14.3055 Å, with angles of 90.00, 90.00 and 90.00 degrees. The distinct sites, in fractional coordinates, are Hg at (0.0000, 0.0000, 0.0000), Au at (0.0000, 0.0000, 0.4058) and S at (0.0000, 0.5000, 0.2500).

The calculation puts the total energy at -223.3 eV per formula unit. The theoretical density comes out at 11.7 g/cm3. The value obtained for the density of states at the Fermi level is 0.437 states/eV/atom.

19.
Entry from Alexandria: HgSb2Au at its PBEsol-relaxed geometry (meta-GGA SCAN).

The space group is R-3m (No. 166, hexagonal axes) and the conventional cell measures 3.3404, 3.3404 and 29.7337 Å, with angles of 90.00, 90.00 and 120.00 degrees. The distinct sites, in fractional coordinates, are Hg at (0.0000, 0.0000, 0.0000), Sb at (0.0000, 0.0000, 0.2388) and Au at (0.0000, 0.0000, 0.5000).

The calculation puts the total energy at -211.2 eV per formula unit. The theoretical density comes out at 11.1 g/cm3. The value obtained for the density of states at the Fermi level is 0.422 states/eV/atom.

20.
Entry from Alexandria: HgSb2Au at its PBEsol-relaxed geometry (meta-GGA SCAN).

The space group is Cmmm (No. 65) and the conventional cell measures 5.9108, 8.1615 and 4.1812 Å, with angles of 90.00, 90.00 and 90.00 degrees. The distinct sites, in fractional coordinates, are Hg at (0.0000, 0.0000, 0.0000), Sb at (0.0000, 0.2874, 0.5000) and Au at (0.0000, 0.5000, 0.0000).

The calculation puts the total energy at -212.3 eV per formula unit. The theoretical density comes out at 10.6 g/cm3. The value obtained for the density of states at the Fermi level is 0.326 states/eV/atom.